No. 1
A plane-wave DFT calculation with GGA-PBE was carried out for BRhIN2 after structural relaxation.

Lattice parameters (Å, degrees): 3.429 3.429 7.794 90.00 90.00 90.00
Last column: magnetic moment on the atom in μB.
Fractional positions:
B: 0.000 0.000 0.000  -0.02
Rh: 0.500 0.500 0.500  0.00
N: 0.000 0.500 0.000  0.10
N: 0.500 0.000 0.000  0.10
I: 0.000 0.000 0.500  0.00

* symmetry: No. 123
* raw formation energy: 159.0 kJ/mol of atoms
* calculated density: 4.87 g/cm3
* M_tot: 0.25 μB/f.u.
* excess energy over the best structure of this formula in the dataset: 0.000 eV per atom



No. 2
A plane-wave DFT calculation with GGA-PBE was carried out for BRuI2N after structural relaxation.

Lattice parameters (Å, degrees): 6.301 6.301 2.783 90.00 90.00 90.00
Last column: magnetic moment on the atom in μB.
Fractional positions:
I: 0.000 0.500 0.000  0.09
I: 0.500 0.000 0.000  0.09
Ru: 0.500 0.500 0.500  2.49
B: 0.000 0.000 0.000  0.00
N: 0.000 0.000 0.500  0.01

* symmetry: No. 123
* raw formation energy: 72.7 kJ/mol of atoms
* calculated density: 5.71 g/cm3
* M_tot: 3.00 μB/f.u.
* excess energy over the best structure of this formula in the dataset: 0.000 eV per atom